(1)
{"formula": "Co2SbPt", "functional": "meta-GGA SCAN", "state": "single point on PBEsol structure", "lattice": [[6.084, 0.000, 0.000], [0.000, 6.084, 0.000], [0.000, 0.000, 6.084]], "species": ["Co", "Co", "Co", "Co", "Co", "Co", "Co", "Co", "Sb", "Sb", "Sb", "Sb", "Pt", "Pt", "Pt", "Pt"], "frac_coords": [[0.000, 0.000, 0.000], [0.000, 0.500, 0.500], [0.250, 0.250, 0.250], [0.250, 0.750, 0.750], [0.500, 0.000, 0.500], [0.500, 0.500, 0.000], [0.750, 0.250, 0.750], [0.750, 0.750, 0.250], [0.250, 0.250, 0.750], [0.250, 0.750, 0.250], [0.750, 0.250, 0.250], [0.750, 0.750, 0.750], [0.000, 0.000, 0.500], [0.000, 0.500, 0.000], [0.500, 0.000, 0.000], [0.500, 0.500, 0.500]], "dft_energy_ev_per_cell": -567.5, "e_form_raw_ev_per_fu": 0.19, "space_group": "F-43m, No. 216"}

***

(2)
{"formula": "LiLaY2", "functional": "meta-GGA SCAN", "state": "single point on PBEsol structure", "lattice": [[8.353, 0.000, 0.000], [0.000, 8.353, 0.000], [0.000, 0.000, 6.598]], "species": ["Li", "Li", "Li", "Li", "La", "La", "La", "La", "Y", "Y", "Y", "Y", "Y", "Y", "Y", "Y"], "frac_coords": [[0.000, 0.000, 0.000], [0.000, 0.500, 0.250], [0.500, 0.000, 0.750], [0.500, 0.500, 0.500], [0.000, 0.000, 0.500], [0.000, 0.500, 0.750], [0.500, 0.000, 0.250], [0.500, 0.500, 0.000], [0.212, 0.750, 0.125], [0.250, 0.212, 0.875], [0.250, 0.288, 0.375], [0.288, 0.750, 0.625], [0.712, 0.250, 0.625], [0.750, 0.712, 0.375], [0.750, 0.788, 0.875], [0.788, 0.250, 0.125]], "dft_energy_ev_per_cell": -400.4, "formation_enthalpy_0k_ev_per_atom": 0.2715, "space_group": "I-42d, No. 122"}